PBE Li2AlHg3, relaxed; ΔH_f (0 K) = -1.3 eV/f.u.
1.0
-1.0440 -1.7254 -2.7397
3.0759 -3.4163 0.9794
-6.4651 -1.5935 3.4673
Li Al Hg
2 1 3
Direct
0.0000 0.3351 0.6703
0.0000 0.6649 0.3297
0.0000 0.0000 0.0000
0.5000 0.5000 0.0000
0.5000 0.8275 0.6550
0.5000 0.1725 0.3450

---

PBE Si2OsS2, relaxed; E_form (uncorrected) = 0.5396 eV/atom
1.0
-2.3231 0.3009 2.1427
2.0271 -0.7968 2.3096
1.9775 8.3421 3.3242
S Os Si
2 1 2
Direct
0.7500 0.2500 0.5000
0.2500 0.7500 0.5000
0.0000 0.0000 0.0000
0.4247 0.4247 0.1507
0.5753 0.5753 0.8493

---

PBE GaTc2Ni2, relaxed; ΔH_f (0 K) = 0.6 eV/f.u.
1.0
-4.4147 3.8442 0.8749
-3.9407 -4.2628 -1.1542
-0.0774 -0.9345 3.7157
Ni Tc Ga
4 4 2
Direct
0.3628 0.8628 0.0000
0.8628 0.6372 0.0000
0.6372 0.1372 0.0000
0.1372 0.3628 0.0000
0.1566 0.6566 0.5000
0.6566 0.8434 0.5000
0.8434 0.3434 0.5000
0.3434 0.1566 0.5000
0.0000 0.0000 0.0000
0.5000 0.5000 0.0000

---

PBE ScGaSb3, relaxed; E_form (uncorrected) = 0.1849 eV/atom
1.0
-4.3029 -2.3842 -2.4312
3.3950 -2.7024 -3.3586
0.2620 -4.1379 3.5943
Sc Sb Ga
1 3 1
Direct
0.0000 0.0000 0.0000
0.0000 0.5000 0.0000
0.0000 0.0000 0.5000
0.5000 0.0000 0.0000
0.5000 0.5000 0.5000

---

PBE BaNdGaHg, relaxed; ΔH_f (0 K) = -1.4 eV/f.u.
1.0
-4.5029 2.7206 1.9285
-5.0313 -0.9410 -2.2798
-3.9163 -2.7668 2.8990
Nd Hg Ga Ba
1 1 1 1
Direct
0.0000 0.0000 0.0000
0.7500 0.7500 0.7500
0.2500 0.2500 0.2500
0.5000 0.5000 0.5000

---

PBE Tl2PtBr, relaxed; E_form (uncorrected) = 0.2100 eV/atom
1.0
-4.9820 -1.5294 0.4695
-1.1411 -4.4837 2.4442
-2.3353 0.0932 4.6816
Tl Br Pt
2 1 1
Direct
0.0000 0.0000 0.0000
0.2500 0.2500 0.2500
0.5000 0.5000 0.5000
0.7500 0.7500 0.7500

---

PBE TcIrOs2, relaxed; ΔH_f (0 K) = 0.0 eV/f.u.
1.0
-1.7217 -2.1117 0.1371
1.5386 -1.3706 -1.7879
4.1267 -2.9853 5.8397
Ir Os Tc
1 2 1
Direct
0.5000 0.5000 0.7501
0.0000 0.0000 0.0031
0.5000 0.5000 0.2478
0.0000 0.0000 0.4989

---

PBE La3Nd12Pb5, relaxed; ΔH_f (0 K) = 6.9 eV/f.u.
1.0
16.3629 0.0000 0.0000
-5.4543 15.4271 0.0000
-5.4543 -7.7136 13.3603
La Pb Nd
12 20 48
Direct
0.7500 0.3750 0.1250
0.8750 0.7500 0.1250
0.3750 0.7500 0.6250
0.2500 0.1250 0.3750
0.8750 0.1250 0.2500
0.3750 0.6250 0.2500
0.6250 0.3750 0.7500
0.1250 0.8750 0.7500
0.7500 0.8750 0.6250
0.6250 0.2500 0.3750
0.1250 0.2500 0.8750
0.2500 0.6250 0.8750
0.1250 0.3750 0.2500
0.0000 0.5000 0.0000
0.0000 0.0000 0.0000
0.3750 0.2500 0.1250
0.5000 0.0000 0.5000
0.5000 0.5000 0.0000
0.1250 0.7500 0.3750
0.7500 0.1250 0.8750
0.7500 0.6250 0.3750
0.3750 0.1250 0.7500
0.6250 0.8750 0.2500
0.5000 0.5000 0.5000
0.5000 0.0000 0.0000
0.0000 0.0000 0.5000
0.2500 0.3750 0.6250
0.2500 0.8750 0.1250
0.0000 0.5000 0.5000
0.8750 0.2500 0.6250
0.6250 0.7500 0.8750
0.8750 0.6250 0.7500
0.7222 0.1201 0.0503
0.3281 0.5503 0.4303
0.9497 0.3799 0.2778
0.5503 0.2222 0.1201
0.6021 0.7222 0.6719
0.9497 0.5697 0.1719
0.3281 0.7778 0.3979
0.0697 0.8979 0.1201
0.5697 0.9497 0.6719
0.7222 0.6021 0.1719
0.7778 0.4497 0.3799
0.8281 0.9303 0.0503
0.1201 0.7222 0.5503
0.3799 0.4303 0.1021
0.1021 0.9303 0.3799
0.3979 0.1201 0.5697
0.1021 0.1719 0.2222
0.4497 0.6719 0.0697
0.8281 0.8979 0.2778
0.1201 0.3979 0.0697
0.3799 0.9497 0.7778
0.5697 0.6201 0.3979
0.9303 0.8281 0.5503
0.7778 0.3281 0.8979
0.4303 0.3799 0.6021
0.0697 0.1719 0.4497
0.2222 0.6719 0.1021
0.1719 0.1021 0.7222
0.6201 0.0503 0.2222
0.8799 0.6021 0.9303
0.5503 0.3281 0.9303
0.6021 0.8799 0.4303
0.8979 0.8281 0.7778
0.8979 0.0697 0.6201
0.8799 0.2778 0.4497
0.1719 0.0697 0.9497
0.6201 0.5697 0.8979
0.4303 0.0503 0.3281
0.2778 0.3979 0.8281
0.2222 0.5503 0.6201
0.9303 0.1021 0.8799
0.6719 0.2222 0.6021
0.4497 0.7778 0.8799
0.0503 0.4303 0.8281
0.3979 0.2778 0.3281
0.0503 0.6201 0.7222
0.6719 0.4497 0.5697
0.2778 0.8799 0.9497

---

PBE TbSm2Dy2Y4, relaxed; ΔH_f (0 K) = 0.0 eV/f.u.
1.0
3.6087 0.0000 0.0000
-1.8043 9.3523 -0.4928
0.0000 -3.7061 8.8492
Tb Sm Dy Y
1 2 2 4
Direct
0.0000 0.0000 0.0000
0.8517 0.7033 0.3331
0.1483 0.2967 0.6669
0.3335 0.6669 0.9996
0.6665 0.3331 0.0004
0.8149 0.6298 0.6673
0.1851 0.3702 0.3327
0.5188 0.0377 0.3324
0.4812 0.9623 0.6676

---

PBE LaMg4Pt4, relaxed; ΔH_f (0 K) = -6.5 eV/f.u.
1.0
-3.6197 1.3888 5.4048
-3.5452 -5.5475 -0.9489
5.3930 -4.2511 4.7042
La Mg Pt
2 8 8
Direct
0.0000 0.0000 0.0000
0.5000 0.5000 0.5000
0.2498 0.5000 0.8843
0.7502 0.5000 0.8843
0.5000 0.7502 0.1157
0.5000 0.2498 0.1157
0.0000 0.7498 0.3843
0.0000 0.2502 0.3843
0.2502 0.0000 0.6157
0.7498 0.0000 0.6157
0.5000 0.7913 0.7976
0.5000 0.2087 0.7976
0.7913 0.5000 0.2024
0.2087 0.5000 0.2024
0.2913 0.0000 0.2976
0.7087 0.0000 0.2976
0.0000 0.2913 0.7024
0.0000 0.7087 0.7024

---

PBE Te2AsPbI, relaxed; E_form (uncorrected) = 0.7696 eV/atom
1.0
5.9931 0.0000 0.0000
0.0000 5.9931 0.0000
0.0000 0.0000 6.0552
Pb I As Te
1 1 1 2
Direct
0.0000 0.0000 0.0000
0.0000 0.0000 0.5000
0.5000 0.5000 0.5000
0.0000 0.5000 0.0000
0.5000 0.0000 0.0000

---

PBE Cr2MoRu, relaxed; ΔH_f (0 K) = 0.3 eV/f.u.
1.0
-0.6488 2.8223 0.1898
-2.7951 -0.6098 -0.4877
-0.9471 -0.6362 6.2238
Cr Mo Ru
2 1 1
Direct
0.0000 0.0000 0.0250
0.5000 0.5000 0.2181
0.0000 0.0000 0.4888
0.5000 0.5000 0.7682

---

PBE BaMgSnF, relaxed; E_form (uncorrected) = -1.6652 eV/atom
1.0
-0.9191 3.7348 2.2249
-3.4667 -2.0018 1.9284
6.5778 -3.3525 8.3451
Ba Mg Sn F
2 2 2 2
Direct
0.0000 0.5000 0.8646
0.5000 0.0000 0.1354
0.0000 0.0000 0.5000
0.5000 0.5000 0.5000
0.5000 0.0000 0.6796
0.0000 0.5000 0.3204
0.5000 0.5000 0.0000
0.0000 0.0000 0.0000

---

PBE RbTl4Cu3F12, relaxed; E_form (uncorrected) = -1.7364 eV/atom
1.0
7.5548 0.0000 0.0000
-2.5183 7.1227 0.0000
-2.5183 -3.5614 6.1685
Rb Tl Cu F
1 4 3 12
Direct
0.0000 0.0000 0.0000
0.5000 0.5000 0.5000
0.0000 0.0000 0.5000
0.5000 0.0000 0.0000
0.0000 0.5000 0.0000
0.5000 0.0000 0.5000
0.5000 0.5000 0.0000
0.0000 0.5000 0.5000
0.2500 0.5000 0.7500
0.7104 0.0000 0.7104
0.2896 0.0000 0.2896
0.7500 0.5000 0.2500
0.7104 0.7104 0.0000
0.2896 0.2896 0.0000
0.7500 0.2500 0.5000
0.2500 0.7500 0.5000
0.5000 0.2500 0.7500
0.0000 0.7104 0.7104
0.5000 0.7500 0.2500
0.0000 0.2896 0.2896

---

PBE Cs2Hg4Ir, relaxed; ΔH_f (0 K) = -0.8 eV/f.u.
1.0
5.4382 0.0000 0.0000
0.0000 5.4382 0.0000
2.7191 2.7191 9.4295
Cs Ir Hg
2 1 4
Direct
0.3544 0.3544 0.2911
0.6456 0.6456 0.7089
0.0000 0.0000 0.0000
0.1432 0.1432 0.7135
0.8568 0.8568 0.2865
0.0000 0.5000 0.0000
0.5000 0.0000 0.0000

---

PBE Li2Pb3I8, relaxed; E_form (uncorrected) = -0.7940 eV/atom
1.0
-6.0902 -1.4846 5.0360
-4.1495 -5.2370 -6.5620
7.5887 -2.7590 4.0859
Li Pb I
2 3 8
Direct
0.6121 0.6612 0.3224
0.3879 0.3388 0.6776
0.5000 0.0000 0.0000
0.0000 0.7388 0.0000
0.0000 0.2612 0.0000
0.7531 0.3697 0.7393
0.2469 0.6303 0.2607
0.7481 0.8700 0.7399
0.2519 0.1300 0.2601
0.7545 0.3736 0.2559
0.7545 0.8823 0.2559
0.2455 0.1177 0.7441
0.2455 0.6264 0.7441

---

PBE CaFeNi2, relaxed; ΔH_f (0 K) = 1.1 eV/f.u.
1.0
4.4544 0.0000 0.0000
0.0000 4.4532 0.0000
0.0000 0.0000 2.9909
Ni Ca Fe
2 1 1
Direct
0.0000 0.0000 0.0000
0.5000 0.5000 0.0000
0.5000 0.0000 0.5000
0.0000 0.5000 0.5000

---

PBE K2CdAu, relaxed; ΔH_f (0 K) = -0.3 eV/f.u.
1.0
4.7082 0.0057 0.0051
3.0046 3.6249 0.0051
1.4995 0.7058 9.4561
Au Cd K
1 1 2
Direct
0.7500 0.7500 0.7500
0.2500 0.2500 0.2500
0.0112 0.0112 0.9673
0.4888 0.4888 0.5327

---

PBE Y4Te2AsP, relaxed; E_form (uncorrected) = -1.5426 eV/atom
1.0
-0.3878 1.7240 3.7744
5.9854 -3.3933 2.1650
1.8954 6.6520 -2.8436
Y Te As P
4 2 1 1
Direct
0.5000 0.2318 0.2118
0.5000 0.7682 0.7882
0.0000 0.2556 0.7852
0.0000 0.7444 0.2148
0.5000 0.0000 0.5000
0.0000 0.5000 0.5000
0.5000 0.5000 0.0000
0.0000 0.0000 0.0000

---

PBE Rb3SrV, relaxed; ΔH_f (0 K) = 4.4 eV/f.u.
1.0
-1.1617 -5.3711 4.4035
5.9220 -3.0987 -2.2174
3.6290 3.3374 5.0281
Sr Rb V
1 3 1
Direct
0.5000 0.5000 0.5000
0.0000 0.5000 0.0000
0.0000 0.0000 0.5000
0.5000 0.0000 0.0000
0.0000 0.0000 0.0000

---

PBE Ta2HgSbS, relaxed; E_form (uncorrected) = 2.1485 eV/atom
1.0
-4.8727 0.4221 -1.8789
-1.5913 -3.7536 3.2836
-1.0825 3.6276 3.6223
Sb S Hg Ta
1 1 1 2
Direct
0.0000 0.5000 0.0000
0.5000 0.5000 0.5000
0.0000 0.0000 0.0000
0.0000 0.0000 0.5000
0.5000 0.0000 0.0000

---

PBE ThMgRu, relaxed; ΔH_f (0 K) = -1.0 eV/f.u.
1.0
3.8205 0.6180 0.0660
1.0939 5.3263 -0.2024
-1.8648 -1.2015 6.8884
Th Mg Ru
2 2 2
Direct
0.9237 0.8088 0.6570
0.0763 0.1912 0.3430
0.3262 0.2866 0.9382
0.6738 0.7134 0.0618
0.3411 0.6476 0.3338
0.6589 0.3524 0.6662

---

no.,M_tot (μB/cell)
1,0.0
2,0.0
3,0.0
4,0.0
5,0.0
6,0.0
7,0.0
8,0.1
9,0.0
10,0.0
11,0.8
12,0.0
13,0.0
14,3.6
15,0.0
16,0.0
17,3.6
18,0.0
19,0.0
20,5.3
21,3.6
22,0.0